{
  "formula": "SmDy2Au",
  "functional": "PBE",
  "state": "relaxed",
  "lattice_angstrom": [[6.9910, 0.0000, 0.0000], [0.0000, 9.9362, 0.0000], [0.0000, 0.0000, 6.6701]],
  "species": ["Sm", "Sm", "Sm", "Sm", "Dy", "Dy", "Dy", "Dy", "Dy", "Dy", "Dy", "Dy", "Au", "Au", "Au", "Au"],
  "fractional_positions": [[0.0041, 0.2500, 0.1261], [0.4959, 0.7500, 0.6261], [0.5041, 0.2500, 0.3739], [0.9959, 0.7500, 0.8739], [0.1871, 0.0534, 0.6824], [0.1871, 0.4466, 0.6824], [0.3129, 0.5534, 0.1824], [0.3129, 0.9466, 0.1824], [0.6871, 0.0534, 0.8176], [0.6871, 0.4466, 0.8176], [0.8129, 0.5534, 0.3176], [0.8129, 0.9466, 0.3176], [0.1033, 0.7500, 0.4382], [0.3967, 0.2500, 0.9382], [0.6033, 0.7500, 0.0618], [0.8967, 0.2500, 0.5618]]
}



{
  "formula": "Sm2Dy3Au4",
  "functional": "PBE",
  "state": "relaxed",
  "lattice_angstrom": [[3.5182, -8.8949, 0.0000], [3.5182, 8.8949, 0.0000], [0.0000, 0.0000, 7.5227]],
  "species": ["Sm", "Sm", "Sm", "Sm", "Dy", "Dy", "Dy", "Dy", "Dy", "Dy", "Au", "Au", "Au", "Au", "Au", "Au", "Au", "Au"],
  "fractional_positions": [[0.0960, 0.9040, 0.9201], [0.4040, 0.5960, 0.4201], [0.5960, 0.4040, 0.5799], [0.9040, 0.0960, 0.0799], [0.0000, 0.0000, 0.5000], [0.0140, 0.4860, 0.7500], [0.4860, 0.0140, 0.2500], [0.5000, 0.5000, 0.0000], [0.5140, 0.9860, 0.7500], [0.9860, 0.5140, 0.2500], [0.1675, 0.8325, 0.5325], [0.1826, 0.3174, 0.7500], [0.3174, 0.1826, 0.2500], [0.3325, 0.6675, 0.0325], [0.6675, 0.3325, 0.9675], [0.6826, 0.8174, 0.7500], [0.8174, 0.6826, 0.2500], [0.8325, 0.1675, 0.4675]]
}



{
  "formula": "Sm2DyAu",
  "functional": "PBE",
  "state": "relaxed",
  "lattice_angstrom": [[3.6911, 0.0000, 0.0000], [0.0000, 3.6911, 0.0000], [0.0000, 0.0000, 8.5057]],
  "species": ["Sm", "Sm", "Dy", "Au"],
  "fractional_positions": [[0.0000, 0.0000, 0.2106], [0.0000, 0.0000, 0.7894], [0.5000, 0.5000, 0.5000], [0.5000, 0.5000, 0.0000]]
}



{
  "formula": "SmDy2Au",
  "functional": "PBE",
  "state": "relaxed",
  "lattice_angstrom": [[1.8482, 1.0671, 10.0530], [-1.8482, 1.0671, 10.0530], [0.0000, -2.1341, 10.0530]],
  "species": ["Sm", "Dy", "Dy", "Au"],
  "fractional_positions": [[0.0000, 0.0000, 0.0000], [0.2358, 0.2358, 0.2358], [0.7642, 0.7642, 0.7642], [0.5000, 0.5000, 0.5000]]
}



{
  "formula": "SmDy2Au2",
  "functional": "PBE",
  "state": "relaxed",
  "lattice_angstrom": [[8.2262, 0.0000, 0.0000], [0.0000, 8.2262, 0.0000], [0.0000, 0.0000, 3.8089]],
  "species": ["Sm", "Sm", "Dy", "Dy", "Dy", "Dy", "Au", "Au", "Au", "Au"],
  "fractional_positions": [[0.0000, 0.0000, 0.0000], [0.5000, 0.5000, 0.0000], [0.1623, 0.3377, 0.5000], [0.3377, 0.8377, 0.5000], [0.6623, 0.1623, 0.5000], [0.8377, 0.6623, 0.5000], [0.1311, 0.6311, 0.0000], [0.3689, 0.1311, 0.0000], [0.6311, 0.8689, 0.0000], [0.8689, 0.3689, 0.0000]]
}



{
  "formula": "Sm2DyAu",
  "functional": "PBE",
  "state": "relaxed",
  "lattice_angstrom": [[5.4584, 0.0000, 0.0000], [0.0000, 5.4584, 0.0000], [0.0000, 0.0000, 3.7140]],
  "species": ["Sm", "Sm", "Dy", "Au"],
  "fractional_positions": [[0.0000, 0.5000, 0.0000], [0.5000, 0.0000, 0.0000], [0.0000, 0.0000, 0.5000], [0.5000, 0.5000, 0.5000]]
}



{
  "formula": "SmDy2Au",
  "functional": "PBE",
  "state": "relaxed",
  "lattice_angstrom": [[2.4746, -5.9995, 0.0000], [2.4746, 5.9995, 0.0000], [0.0000, 0.0000, 7.8012]],
  "species": ["Sm", "Sm", "Dy", "Dy", "Dy", "Dy", "Au", "Au"],
  "fractional_positions": [[0.0461, 0.9539, 0.7500], [0.9539, 0.0461, 0.2500], [0.3553, 0.6447, 0.5351], [0.3553, 0.6447, 0.9649], [0.6447, 0.3553, 0.0351], [0.6447, 0.3553, 0.4649], [0.2038, 0.7962, 0.2500], [0.7962, 0.2038, 0.7500]]
}



{
  "formula": "Sm3DyAu3",
  "functional": "PBE",
  "state": "relaxed",
  "lattice_angstrom": [[4.8334, -5.4288, 0.0000], [4.8334, 5.4288, 0.0000], [-0.1732, 0.0000, 7.3032]],
  "species": ["Sm", "Sm", "Sm", "Sm", "Sm", "Sm", "Dy", "Dy", "Au", "Au", "Au", "Au", "Au", "Au"],
  "fractional_positions": [[0.1776, 0.8224, 0.0000], [0.2566, 0.7434, 0.5000], [0.3545, 0.3545, 0.1363], [0.6455, 0.6455, 0.8637], [0.7434, 0.2566, 0.5000], [0.8224, 0.1776, 0.0000], [0.2543, 0.2543, 0.6300], [0.7457, 0.7457, 0.3700], [0.0154, 0.5014, 0.7756], [0.0670, 0.0670, 0.3129], [0.4986, 0.9846, 0.2244], [0.5014, 0.0154, 0.7756], [0.9330, 0.9330, 0.6871], [0.9846, 0.4986, 0.2244]]
}



ΔE_f, record by record: -0.432 -0.669 -0.359 -0.280 -0.689 -0.235 -0.405 -0.616 eV per atom